No. 1
DFT (PBE-GGA) results for CuAgPtBr6 after structural relaxation.

Uncorrected formation energy ... -0.25 eV/atom
D(E_F) ... 4.380 states/eV/f.u.
Electronic total energy ... -2.80 eV per atom

Geometry as CIF:
```
data_CuAgPtBr6
_chemical_formula_sum 'Cu2 Ag2 Pt2 Br12'
_symmetry_space_group_name_H-M 'P 42 n m'
_symmetry_Int_Tables_number 102
_symmetry_space_group_name_Hall 'P 4n -2n'
_cell_length_a 6.4043
_cell_length_b 6.4043
_cell_length_c 11.6962
_cell_angle_alpha 90.00
_cell_angle_beta 90.00
_cell_angle_gamma 90.00
loop_
_atom_site_label
_atom_site_type_symbol
_atom_site_fract_x
_atom_site_fract_y
_atom_site_fract_z
Cu1 Cu 0.0000 0.0000 0.0000
Ag1 Ag 0.0000 0.0000 0.3186
Pt1 Pt 0.0000 0.0000 0.6604
Br1 Br 0.1803 0.1803 0.8238
Br2 Br 0.1928 0.1928 0.5052
Br3 Br 0.2068 0.2068 0.1488
```

***

No. 2
DFT (PBE-GGA) results for RbCuAgBr5 after structural relaxation.

Uncorrected formation energy ... -0.61 eV/atom
D(E_F) ... 5.455 states/eV/f.u.
Electronic total energy ... -2.65 eV per atom

Geometry as CIF:
```
data_RbCuAgBr5
_chemical_formula_sum 'Rb4 Cu4 Ag4 Br20'
_symmetry_space_group_name_H-M 'C 1 2/c 1'
_symmetry_Int_Tables_number 15
_symmetry_space_group_name_Hall '-C 2yc'
_cell_length_a 8.2887
_cell_length_b 13.8900
_cell_length_c 9.7458
_cell_angle_alpha 90.00
_cell_angle_beta 111.72
_cell_angle_gamma 90.00
loop_
_atom_site_label
_atom_site_type_symbol
_atom_site_fract_x
_atom_site_fract_y
_atom_site_fract_z
Rb1 Rb 0.0000 0.1699 0.2500
Cu1 Cu 0.0000 0.1615 0.7500
Ag1 Ag 0.0000 0.5000 0.0000
Br1 Br 0.0000 0.4287 0.2500
Br2 Br 0.0536 0.2744 0.5877
Br3 Br 0.1659 0.0475 0.9354
```

***

No. 3
DFT (PBE-GGA) results for RbCuAgBr3 after structural relaxation.

Uncorrected formation energy ... -0.75 eV/atom
Electronic total energy ... -2.91 eV per atom

Geometry as CIF:
```
data_RbCuAgBr3
_chemical_formula_sum 'Rb4 Cu4 Ag4 Br12'
_symmetry_space_group_name_H-M 'C 1 2/m 1'
_symmetry_Int_Tables_number 12
_symmetry_space_group_name_Hall '-C 2y'
_cell_length_a 20.5460
_cell_length_b 4.2971
_cell_length_c 8.2677
_cell_angle_alpha 90.00
_cell_angle_beta 100.88
_cell_angle_gamma 90.00
loop_
_atom_site_label
_atom_site_type_symbol
_atom_site_fract_x
_atom_site_fract_y
_atom_site_fract_z
Rb1 Rb 0.1370 0.0000 0.4458
Cu1 Cu 0.0091 0.5000 0.8533
Ag1 Ag 0.1739 0.0000 0.9468
Br1 Br 0.0379 0.0000 0.7354
Br2 Br 0.1076 0.5000 0.1158
Br3 Br 0.2199 0.5000 0.7630
```

***

No. 4
DFT (PBE-GGA) results for RbCuAgBr6 after structural relaxation.

Uncorrected formation energy ... -0.55 eV/atom
D(E_F) ... 4.791 states/eV/f.u.
Electronic total energy ... -2.54 eV per atom

Geometry as CIF:
```
data_RbCuAgBr6
_chemical_formula_sum 'Rb1 Cu1 Ag1 Br6'
_symmetry_space_group_name_H-M 'P 1'
_symmetry_Int_Tables_number 1
_symmetry_space_group_name_Hall 'P 1'
_cell_length_a 6.7081
_cell_length_b 7.1387
_cell_length_c 7.8980
_cell_angle_alpha 93.37
_cell_angle_beta 103.64
_cell_angle_gamma 109.47
loop_
_atom_site_label
_atom_site_type_symbol
_atom_site_fract_x
_atom_site_fract_y
_atom_site_fract_z
Rb1 Rb 0.0000 0.0000 0.0000
Cu1 Cu 0.6772 0.4594 0.3713
Ag1 Ag 0.3203 0.5484 0.6422
Br1 Br 0.3459 0.2562 0.4330
Br2 Br 0.4039 0.8264 0.8977
Br3 Br 0.6187 0.2078 0.1336
Br4 Br 0.6727 0.7444 0.5569
Br5 Br 0.9681 0.3378 0.7026
Br6 Br 0.9993 0.6613 0.3125
```

***

No. 5
DFT (PBE-GGA) results for RbCuAg2Br4 after structural relaxation.

Uncorrected formation energy ... -0.65 eV/atom
Electronic total energy ... -2.84 eV per atom

Geometry as CIF:
```
data_RbCuAg2Br4
_chemical_formula_sum 'Rb2 Cu2 Ag4 Br8'
_symmetry_space_group_name_H-M 'P m n 21'
_symmetry_Int_Tables_number 31
_symmetry_space_group_name_Hall 'P 2ac -2'
_cell_length_a 9.6621
_cell_length_b 7.4461
_cell_length_c 7.3856
_cell_angle_alpha 90.00
_cell_angle_beta 90.00
_cell_angle_gamma 90.00
loop_
_atom_site_label
_atom_site_type_symbol
_atom_site_fract_x
_atom_site_fract_y
_atom_site_fract_z
Rb1 Rb 0.0000 0.1662 0.0000
Cu1 Cu 0.0000 0.8233 0.5024
Ag1 Ag 0.2485 0.3389 0.4889
Br1 Br 0.0000 0.1510 0.4664
Br2 Br 0.0000 0.7432 0.8284
Br3 Br 0.1978 0.6728 0.3525
```

***

No. 6
DFT (PBE-GGA) results for Rb3Cu2AgBr6 after structural relaxation.

Uncorrected formation energy ... -0.95 eV/atom
Electronic total energy ... -2.95 eV per atom

Geometry as CIF:
```
data_Rb3Cu2AgBr6
_chemical_formula_sum 'Rb3 Cu2 Ag1 Br6'
_symmetry_space_group_name_H-M 'P -3 m 1'
_symmetry_Int_Tables_number 164
_symmetry_space_group_name_Hall '-P 3 2"'
_cell_length_a 7.9369
_cell_length_b 7.9369
_cell_length_c 8.9507
_cell_angle_alpha 90.00
_cell_angle_beta 90.00
_cell_angle_gamma 120.00
loop_
_atom_site_label
_atom_site_type_symbol
_atom_site_fract_x
_atom_site_fract_y
_atom_site_fract_z
Rb1 Rb 0.0000 0.0000 0.0000
Rb2 Rb 0.3333 0.6667 0.6545
Cu1 Cu 0.3333 0.6667 0.2770
Ag1 Ag 0.0000 0.0000 0.5000
Br1 Br 0.1625 0.3250 0.2913
```